Version 1
Density functional theory data (PBE) for an optimized crystal structure of Cu3AgF.

Summary:
* space-group type: Pm-3m, No. 221
* crystal system: cubic
* Fermi-level density of states: 2.43 states/eV per cell

Cell: 4.149 4.149 4.149 Å, 90.00 90.00 90.00°
Fractional positions:
1 Cu 0.000 0.000 0.500
2 Cu 0.000 0.500 0.000
3 Cu 0.500 0.000 0.000
4 Ag 0.500 0.500 0.500
5 F 0.000 0.000 0.000


Version 2
Density functional theory data (PBE) for an optimized crystal structure of Cu3AgF.

Summary:
* space-group type: Pm-3m, No. 221
* crystal system: cubic
* Fermi-level density of states: 2.49 states/eV per cell

Cell: 4.749 4.749 4.749 Å, 90.00 90.00 90.00°
Fractional positions:
1 Cu 0.000 0.000 0.500
2 Cu 0.000 0.500 0.000
3 Cu 0.500 0.000 0.000
4 Ag 0.000 0.000 0.000
5 F 0.500 0.500 0.500


Computed energies relative to the best structure, in eV/atom: version 1 0.000; version 2 0.658


Version 1
Density functional theory data (PBE) for an optimized crystal structure of CuAg2F3.

Summary:
* space-group type: Cmc2_1, No. 36
* crystal system: orthorhombic
* Fermi-level density of states: 5.10 states/eV per cell

Cell: 6.049 6.049 5.395 Å, 90.00 90.00 72.72°
Fractional positions:
1 Cu 0.184 0.816 0.500
2 Cu 0.816 0.184 0.000
3 Ag 0.162 0.552 0.908
4 Ag 0.448 0.838 0.908
5 Ag 0.552 0.162 0.408
6 Ag 0.838 0.448 0.408
7 F 0.056 0.944 0.141
8 F 0.219 0.483 0.375
9 F 0.483 0.219 0.875
10 F 0.517 0.781 0.375
11 F 0.781 0.517 0.875
12 F 0.944 0.056 0.641


Version 2
Density functional theory data (PBE) for an optimized crystal structure of CuAg2F3.

Summary:
* space-group type: Pnma, No. 62
* crystal system: orthorhombic
* Fermi-level density of states: 11.62 states/eV per cell

Cell: 8.326 3.045 13.445 Å, 90.00 90.00 90.00°
Fractional positions:
1 Cu 0.118 0.250 0.072
2 Cu 0.382 0.750 0.572
3 Cu 0.618 0.250 0.428
4 Cu 0.882 0.750 0.928
5 Ag 0.092 0.250 0.717
6 Ag 0.142 0.250 0.400
7 Ag 0.358 0.750 0.900
8 Ag 0.408 0.750 0.217
9 Ag 0.592 0.250 0.783
10 Ag 0.642 0.250 0.100
11 Ag 0.858 0.750 0.600
12 Ag 0.908 0.750 0.283
13 F 0.075 0.250 0.920
14 F 0.146 0.750 0.545
15 F 0.161 0.250 0.218
16 F 0.339 0.750 0.718
17 F 0.354 0.250 0.045
18 F 0.425 0.750 0.420
19 F 0.575 0.250 0.580
20 F 0.646 0.750 0.955
21 F 0.661 0.250 0.282
22 F 0.839 0.750 0.782
23 F 0.854 0.250 0.455
24 F 0.925 0.750 0.080


Computed energies relative to the best structure, in eV/atom: version 1 0.000; version 2 0.013


Version 1
Density functional theory data (PBE) for an optimized crystal structure of CuAgNF2.

Summary:
* space-group type: P4/mmm, No. 123
* crystal system: tetragonal
* Fermi-level density of states: 2.02 states/eV per cell

Cell: 4.159 4.159 3.712 Å, 90.00 90.00 90.00°
Fractional positions:
1 Cu 0.000 0.000 0.000
2 Ag 0.500 0.500 0.500
3 N 0.000 0.000 0.500
4 F 0.000 0.500 0.000
5 F 0.500 0.000 0.000


Version 2
Density functional theory data (PBE) for an optimized crystal structure of CuAgNF2.

Summary:
* space-group type: P4/mmm, No. 123
* crystal system: tetragonal
* Fermi-level density of states: 1.71 states/eV per cell

Cell: 4.377 4.377 3.987 Å, 90.00 90.00 90.00°
Fractional positions:
1 Cu 0.000 0.000 0.000
2 Ag 0.500 0.500 0.500
3 N 0.500 0.500 0.000
4 F 0.000 0.500 0.500
5 F 0.500 0.000 0.500


Computed energies relative to the best structure, in eV/atom: version 1 0.000; version 2 0.540


Version 1
Density functional theory data (PBE) for an optimized crystal structure of FeCuAg.

Summary:
* space-group type: I4mm, No. 107
* crystal system: tetragonal
* Fermi-level density of states: 1.21 states/eV per cell

Cell: 6.083 6.083 6.083 Å, 154.32 154.32 36.63°
Fractional positions:
1 Fe 0.000 0.000 0.000
2 Cu 0.354 0.354 0.000
3 Ag 0.679 0.679 0.000


Version 2
Density functional theory data (PBE) for an optimized crystal structure of FeCuAg.

Summary:
* space-group type: P3m1, No. 156
* crystal system: trigonal
* Fermi-level density of states: 2.50 states/eV per cell

Cell: 2.713 2.713 6.689 Å, 90.00 90.00 120.00°
Fractional positions:
1 Fe 0.000 0.000 0.000
2 Cu 0.333 0.667 0.696
3 Ag 0.667 0.333 0.351


Version 3
Density functional theory data (PBE) for an optimized crystal structure of FeCuAg.

Summary:
* space-group type: F-43m, No. 216
* crystal system: cubic
* Fermi-level density of states: 3.53 states/eV per cell

Cell: 4.117 4.117 4.117 Å, 60.00 60.00 60.00°
Fractional positions:
1 Fe 0.000 0.000 0.000
2 Cu 0.750 0.750 0.750
3 Ag 0.500 0.500 0.500


Version 4
Density functional theory data (PBE) for an optimized crystal structure of FeCuAg.

Summary:
* space-group type: Imm2, No. 44
* crystal system: orthorhombic
* Fermi-level density of states: 2.05 states/eV per cell

Cell: 4.739 4.739 4.739 Å, 146.85 132.82 58.87°
Fractional positions:
1 Fe 0.000 0.000 0.000
2 Cu 0.349 0.349 0.000
3 Ag 0.676 0.676 0.000


Computed energies relative to the best structure, in eV/atom: version 1 0.000; version 2 0.034; version 3 0.407; version 4 0.064


Version 1
Density functional theory data (PBE) for an optimized crystal structure of Ga2CuAg.

Summary:
* space-group type: Fm-3m, No. 225
* crystal system: cubic
* Fermi-level density of states: 1.50 states/eV per cell

Cell: 4.516 4.516 4.516 Å, 60.00 60.00 60.00°
Fractional positions:
1 Ga 0.250 0.250 0.250
2 Ga 0.750 0.750 0.750
3 Cu 0.000 0.000 0.000
4 Ag 0.500 0.500 0.500


Version 2
Density functional theory data (PBE) for an optimized crystal structure of Ga2CuAg.

Summary:
* space-group type: P4/mmm, No. 123
* crystal system: tetragonal
* Fermi-level density of states: 1.89 states/eV per cell

Cell: 4.023 4.023 3.957 Å, 90.00 90.00 90.00°
Fractional positions:
1 Ga 0.000 0.500 0.000
2 Ga 0.500 0.000 0.000
3 Cu 0.000 0.000 0.500
4 Ag 0.500 0.500 0.500


Version 3
Density functional theory data (PBE) for an optimized crystal structure of Ga2CuAg.

Summary:
* space-group type: R-3m, No. 166
* crystal system: trigonal
* Fermi-level density of states: 1.20 states/eV per cell

Cell: 8.644 8.644 8.644 Å, 19.79 19.79 19.79°
Fractional positions:
1 Ga 0.243 0.243 0.243
2 Ga 0.757 0.757 0.757
3 Cu 0.500 0.500 0.500
4 Ag 0.000 0.000 0.000


Version 4
Density functional theory data (PBE) for an optimized crystal structure of Ga2CuAg.

Summary:
* space-group type: Pnma, No. 62
* crystal system: orthorhombic
* Fermi-level density of states: 5.48 states/eV per cell

Cell: 5.310 8.516 5.724 Å, 90.00 90.00 90.00°
Fractional positions:
1 Ga 0.223 0.011 0.132
2 Ga 0.223 0.489 0.132
3 Ga 0.277 0.511 0.632
4 Ga 0.277 0.989 0.632
5 Ga 0.723 0.011 0.368
6 Ga 0.723 0.489 0.368
7 Ga 0.777 0.511 0.868
8 Ga 0.777 0.989 0.868
9 Cu 0.106 0.750 0.872
10 Cu 0.394 0.250 0.372
11 Cu 0.606 0.750 0.628
12 Cu 0.894 0.250 0.128
13 Ag 0.065 0.750 0.376
14 Ag 0.435 0.250 0.876
15 Ag 0.565 0.750 0.124
16 Ag 0.935 0.250 0.624


Computed energies relative to the best structure, in eV/atom: version 1 0.078; version 2 0.045; version 3 0.000; version 4 0.012


Version 1
Density functional theory data (PBE) for an optimized crystal structure of Ga3CuAg.

Summary:
* space-group type: Pm-3m, No. 221
* crystal system: cubic
* Fermi-level density of states: 2.35 states/eV per cell

Cell: 4.682 4.682 4.682 Å, 90.00 90.00 90.00°
Fractional positions:
1 Ga 0.000 0.000 0.500
2 Ga 0.000 0.500 0.000
3 Ga 0.500 0.000 0.000
4 Cu 0.000 0.000 0.000
5 Ag 0.500 0.500 0.500


Version 2
Density functional theory data (PBE) for an optimized crystal structure of Ga3CuAg.

Summary:
* space-group type: P2_1/m, No. 11
* crystal system: monoclinic
* Fermi-level density of states: 2.77 states/eV per cell

Cell: 2.721 8.775 7.175 Å, 90.00 90.01 90.00°
Fractional positions:
1 Ga 0.001 0.250 0.081
2 Ga 0.002 0.042 0.692
3 Ga 0.002 0.458 0.692
4 Ga 0.998 0.542 0.308
5 Ga 0.998 0.958 0.308
6 Ga 0.999 0.750 0.919
7 Cu 0.500 0.000 0.000
8 Cu 0.500 0.500 0.000
9 Ag 0.497 0.750 0.552
10 Ag 0.503 0.250 0.448


Computed energies relative to the best structure, in eV/atom: version 1 0.236; version 2 0.000


Version 1
Density functional theory data (PBE) for an optimized crystal structure of GaCu2Ag2.

Summary:
* space-group type: I4/mmm, No. 139
* crystal system: tetragonal
* Fermi-level density of states: 2.21 states/eV per cell

Cell: 7.418 7.418 7.418 Å, 152.90 152.90 38.70°
Fractional positions:
1 Ga 0.000 0.000 0.000
2 Cu 0.250 0.750 0.500
3 Cu 0.750 0.250 0.500
4 Ag 0.398 0.398 0.000
5 Ag 0.602 0.602 0.000


Version 2
Density functional theory data (PBE) for an optimized crystal structure of GaCu2Ag2.

Summary:
* space-group type: P4/mbm, No. 127
* crystal system: tetragonal
* Fermi-level density of states: 4.05 states/eV per cell

Cell: 7.185 7.185 3.157 Å, 90.00 90.00 90.00°
Fractional positions:
1 Ga 0.000 0.000 0.000
2 Ga 0.500 0.500 0.000
3 Cu 0.149 0.351 0.500
4 Cu 0.351 0.851 0.500
5 Cu 0.649 0.149 0.500
6 Cu 0.851 0.649 0.500
7 Ag 0.147 0.647 0.000
8 Ag 0.353 0.147 0.000
9 Ag 0.647 0.853 0.000
10 Ag 0.853 0.353 0.000


Computed energies relative to the best structure, in eV/atom: version 1 0.032; version 2 0.000


Version 1
Density functional theory data (PBE) for an optimized crystal structure of GaCu2Ag2.

Summary:
* space-group type: P4/mbm, No. 127
* crystal system: tetragonal
* Fermi-level density of states: 3.19 states/eV per cell

Cell: 6.347 6.347 3.944 Å, 90.00 90.00 90.00°
Fractional positions:
1 Ga 0.000 0.000 0.000
2 Ga 0.500 0.500 0.000
3 Cu 0.136 0.364 0.000
4 Cu 0.364 0.864 0.000
5 Cu 0.636 0.136 0.000
6 Cu 0.864 0.636 0.000
7 Ag 0.164 0.664 0.500
8 Ag 0.336 0.164 0.500
9 Ag 0.664 0.836 0.500
10 Ag 0.836 0.336 0.500


Version 2
Density functional theory data (PBE) for an optimized crystal structure of GaCu2Ag2.

Summary:
* space-group type: I4/mmm, No. 139
* crystal system: tetragonal
* Fermi-level density of states: 1.75 states/eV per cell

Cell: 6.730 6.730 6.730 Å, 147.31 147.31 46.91°
Fractional positions:
1 Ga 0.000 0.000 0.000
2 Cu 0.405 0.405 0.000
3 Cu 0.595 0.595 0.000
4 Ag 0.250 0.750 0.500
5 Ag 0.750 0.250 0.500


Computed energies relative to the best structure, in eV/atom: version 1 0.000; version 2 0.221